# 1
Material: Ba2CaMo2
Method: DFT, GGA-PBE
State: optimized geometry

Cell lengths 9.6587, 9.6587, 3.9231 Å; angles 90.00, 90.00, 90.00 degrees
Last column: nearest neighbours and their distance in Å.
Fractional coordinates of all 10 atoms:
Mo  0.4235  0.9235  0.0000  1 Mo 2.09
Mo  0.9235  0.5765  0.0000  1 Mo 2.09
Mo  0.5765  0.0765  0.0000  1 Mo 2.09
Mo  0.0765  0.4235  0.0000  1 Mo 2.09
Ca  0.0000  0.0000  0.0000  2 Ca 3.92, 8 Ba 4.00, 4 Mo 4.16
Ca  0.5000  0.5000  0.0000  2 Ca 3.92, 8 Ba 4.00, 4 Mo 4.16
Ba  0.2004  0.7004  0.5000  6 Mo 3.53-3.62, 2 Ba 3.92
Ba  0.7004  0.7996  0.5000  6 Mo 3.53-3.62, 2 Ba 3.92
Ba  0.7996  0.2996  0.5000  6 Mo 3.53-3.62, 2 Ba 3.92
Ba  0.2996  0.2004  0.5000  6 Mo 3.53-3.62, 2 Ba 3.92

For the formation enthalpy at 0 K, the calculation gives 0.860 eV per atom. The energy above the most stable polymorph in this dataset is 0 meV/atom. The value obtained for the total energy is -4.641 eV per atom. The calculation puts the volume at 183.0 Å³/f.u.

---

# 2
Material: SrP2S2
Method: DFT, GGA-PBE
State: optimized geometry

Cell lengths 3.7467, 3.7467, 8.9531 Å; angles 77.92, 77.92, 90.00 degrees
Last column: nearest neighbours and their distance in Å.
Fractional coordinates of all 5 atoms:
Sr  0.0000  0.0000  0.0000  8 S 2.87
S  0.4357  0.4357  0.1286  1 S 2.20
S  0.5643  0.5643  0.8714  1 S 2.20
P  0.7500  0.2500  0.5000  4 P 2.65
P  0.2500  0.7500  0.5000  4 P 2.65

For the energy relative to the elements, uncorrected, the calculation gives -0.24 eV per atom. The energy above the most stable polymorph in this dataset is 179 meV/atom. The value obtained for the total energy is -4.394 eV per atom. The calculation puts the volume at 120.1 Å³/f.u.

---

# 3
Material: Nd3Ga3Pd2
Method: DFT, GGA-PBE
State: optimized geometry

Cell lengths 4.5476, 5.7024, 15.2287 Å; angles 90.00, 90.00, 113.50 degrees
Last column: nearest neighbours and their distance in Å.
Fractional coordinates of all 16 atoms:
Nd  0.9051  0.8101  0.3930  4 Pd 3.07-3.36, 7 Ga 3.19-3.33
Nd  0.0949  0.1899  0.8930  4 Pd 3.07-3.36, 7 Ga 3.19-3.33
Nd  0.9051  0.8101  0.1070  4 Pd 3.07-3.36, 7 Ga 3.19-3.33
Nd  0.0949  0.1899  0.6070  4 Pd 3.07-3.36, 7 Ga 3.19-3.33
Nd  0.6261  0.2522  0.2500  5 Ga 3.06-3.21, 4 Pd 3.29
Nd  0.3739  0.7478  0.7500  5 Ga 3.06-3.21, 4 Pd 3.29
Ga  0.6151  0.2302  0.4610  3 Pd 2.62-2.90, 1 Ga 2.69
Ga  0.3849  0.7698  0.9610  3 Pd 2.62-2.90, 1 Ga 2.69
Ga  0.6151  0.2302  0.0390  3 Pd 2.62-2.90, 1 Ga 2.69
Ga  0.3849  0.7698  0.5390  3 Pd 2.62-2.90, 1 Ga 2.69
Ga  0.3340  0.6679  0.2500  2 Pd 2.66
Ga  0.6660  0.3321  0.7500  2 Pd 2.66
Pd  0.8015  0.6030  0.8979  4 Ga 2.62-2.90
Pd  0.1985  0.3970  0.3979  4 Ga 2.62-2.90
Pd  0.8015  0.6030  0.6021  4 Ga 2.62-2.90
Pd  0.1985  0.3970  0.1021  4 Ga 2.62-2.90

For the formation enthalpy at 0 K, the calculation gives -0.755 eV per atom. The value obtained for the total energy is -4.976 eV per atom. The calculation puts the volume at 181.1 Å³/f.u.

---

# 4
Material: In3FeBr
Method: DFT, GGA-PBE
State: optimized geometry

Cell lengths 5.1222, 5.1222, 5.1222 Å; angles 90.00, 90.00, 90.00 degrees
Last column: nearest neighbours and their distance in Å.
Fractional coordinates of all 5 atoms:
Fe  0.0000  0.0000  0.0000  6 In 2.56
Br  0.5000  0.5000  0.5000  12 In 3.62
In  0.0000  0.5000  0.0000  2 Fe 2.56
In  0.0000  0.0000  0.5000  2 Fe 2.56
In  0.5000  0.0000  0.0000  2 Fe 2.56

For the energy relative to the elements, uncorrected, the calculation gives 0.01 eV per atom. The energy above the most stable polymorph in this dataset is 0 meV/atom. The value obtained for the total energy is -3.658 eV per atom. The calculation puts the volume at 134.4 Å³/f.u.

---

# 5
Material: KCd2Se
Method: DFT, GGA-PBE
State: optimized geometry

Cell lengths 5.4069, 5.4069, 5.4069 Å; angles 120.02, 120.02, 89.97 degrees
Last column: nearest neighbours and their distance in Å.
Fractional coordinates of all 4 atoms:
Cd  0.0000  0.0000  0.0000  4 Se 3.31, 4 Cd 3.31
Cd  0.2500  0.7500  0.5000  4 Cd 3.31, 4 K 3.31
K  0.5000  0.5000  0.0000  4 Cd 3.31, 4 Se 3.31
Se  0.7500  0.2500  0.5000  4 Cd 3.31, 4 K 3.31

For the energy relative to the elements, uncorrected, the calculation gives -0.23 eV per atom. The value obtained for the total energy is -1.834 eV per atom. The calculation puts the volume at 111.7 Å³/f.u.

---

# 6
Material: ZrFeB2H
Method: DFT, GGA-PBE
State: optimized geometry

Cell lengths 3.7488, 3.4782, 3.7488 Å; angles 90.00, 90.00, 90.00 degrees
Last column: nearest neighbours and their distance in Å.
Fractional coordinates of all 5 atoms:
H  0.0000  0.5000  0.0000  2 Fe 1.74
B  0.0000  0.0000  0.5000  2 Fe 1.87
B  0.5000  0.0000  0.0000  2 Fe 1.87
Fe  0.0000  0.0000  0.0000  2 H 1.74, 4 B 1.87
Zr  0.5000  0.5000  0.5000  8 B 2.56, 4 H 2.65

The value obtained for the total energy is -6.869 eV per atom. The calculation puts the volume at 48.9 Å³/f.u.

---

# 7
Material: Al2Hg
Method: DFT, GGA-PBE
State: optimized geometry

Cell lengths 6.9645, 6.9645, 5.4807 Å; angles 90.00, 90.00, 153.28 degrees
Last column: nearest neighbours and their distance in Å.
Fractional coordinates of all 6 atoms:
Al  0.7926  0.2074  0.7500  2 Al 2.72, 4 Hg 2.80-2.97
Al  0.4544  0.5456  0.7500  4 Al 2.72-3.01, 2 Hg 2.80
Al  0.2074  0.7926  0.2500  2 Al 2.72, 4 Hg 2.80-2.97
Al  0.5456  0.4544  0.2500  4 Al 2.72-3.01, 2 Hg 2.80
Hg  0.1236  0.8764  0.7500  6 Al 2.80-2.97
Hg  0.8764  0.1236  0.2500  6 Al 2.80-2.97

For the formation enthalpy at 0 K, the calculation gives 0.192 eV per atom. The energy above the most stable polymorph in this dataset is 85 meV/atom. The value obtained for the total energy is -2.403 eV per atom. The calculation puts the volume at 59.8 Å³/f.u.

---

# 8
Material: HoZrC
Method: DFT, GGA-PBE
State: optimized geometry

Cell lengths 5.7976, 3.4345, 3.4345 Å; angles 120.00, 90.00, 90.00 degrees
Last column: nearest neighbours and their distance in Å.
Fractional coordinates of all 3 atoms:
C  0.3132  0.3333  0.6667  3 Zr 2.29, 3 Ho 2.48
Ho  0.5695  0.6667  0.3333  3 C 2.48
Zr  0.1173  0.0000  0.0000  3 C 2.29

For the formation enthalpy at 0 K, the calculation gives -0.385 eV per atom. The value obtained for the total energy is -7.835 eV per atom. The calculation puts the volume at 59.2 Å³/f.u.

---

# 9
Material: Pr4Hg2Ge
Method: DFT, GGA-PBE
State: optimized geometry

Cell lengths 5.3303, 6.5553, 6.5553 Å; angles 110.32, 90.00, 90.00 degrees
Last column: nearest neighbours and their distance in Å.
Fractional coordinates of all 7 atoms:
Pr  0.5000  0.3857  0.3857  2 Ge 3.23, 4 Hg 3.23-3.33
Pr  0.0000  0.6430  0.1428  4 Hg 3.26, 2 Ge 3.28
Pr  0.5000  0.8999  0.8999  4 Hg 3.23-3.33, 2 Ge 3.23
Pr  0.0000  0.1428  0.6430  4 Hg 3.26, 2 Ge 3.28
Ge  0.0000  0.1429  0.1429  8 Pr 3.23-3.28
Hg  0.5000  0.8834  0.4023  8 Pr 3.23-3.33
Hg  0.5000  0.4022  0.8834  8 Pr 3.23-3.33

For the formation enthalpy at 0 K, the calculation gives -0.402 eV per atom. The value obtained for the total energy is -3.879 eV per atom. The calculation puts the volume at 214.8 Å³/f.u.

---

# 10
Material: Pm3PrIn3
Method: DFT, GGA-PBE
State: optimized geometry

Cell lengths 9.5739, 9.5739, 9.5739 Å; angles 90.00, 90.00, 90.00 degrees
Last column: nearest neighbours and their distance in Å.
Fractional coordinates of all 28 atoms:
Pm  0.8237  0.3237  0.1763  6 In 3.22-3.39
Pm  0.9226  0.9226  0.9226  6 In 3.22-3.42
Pm  0.8243  0.6757  0.3243  6 In 3.23-3.38
Pm  0.1763  0.8237  0.3237  6 In 3.22-3.39
Pm  0.1757  0.1757  0.1757  6 In 3.23-3.38
Pm  0.3243  0.8243  0.6757  6 In 3.23-3.38
Pm  0.0774  0.4226  0.5774  6 In 3.22-3.42
Pm  0.3237  0.1763  0.8237  6 In 3.22-3.39
Pm  0.6757  0.3243  0.8243  6 In 3.23-3.38
Pm  0.6763  0.6763  0.6763  6 In 3.22-3.39
Pm  0.5774  0.0774  0.4226  6 In 3.22-3.42
Pm  0.4226  0.5774  0.0774  6 In 3.22-3.42
Pr  0.0739  0.5739  0.9261  6 In 3.24-3.42
Pr  0.9261  0.0739  0.5739  6 In 3.24-3.42
Pr  0.4261  0.4261  0.4261  6 In 3.24-3.42
Pr  0.5739  0.9261  0.0739  6 In 3.24-3.42
In  0.7468  0.6220  0.0008  6 Pm 3.22-3.42, 2 Pr 3.24-3.42
In  0.8780  0.9992  0.2468  6 Pm 3.22-3.42, 2 Pr 3.24-3.42
In  0.0008  0.7468  0.6220  6 Pm 3.22-3.42, 2 Pr 3.24-3.42
In  0.1220  0.4992  0.2532  6 Pm 3.22-3.42, 2 Pr 3.24-3.42
In  0.2532  0.1220  0.4992  6 Pm 3.22-3.42, 2 Pr 3.24-3.42
In  0.2468  0.8780  0.9992  6 Pm 3.22-3.42, 2 Pr 3.24-3.42
In  0.9992  0.2468  0.8780  6 Pm 3.22-3.42, 2 Pr 3.24-3.42
In  0.3780  0.5008  0.7532  6 Pm 3.22-3.42, 2 Pr 3.24-3.42
In  0.4992  0.2532  0.1220  6 Pm 3.22-3.42, 2 Pr 3.24-3.42
In  0.6220  0.0008  0.7468  6 Pm 3.22-3.42, 2 Pr 3.24-3.42
In  0.7532  0.3780  0.5008  6 Pm 3.22-3.42, 2 Pr 3.24-3.42
In  0.5008  0.7532  0.3780  6 Pm 3.22-3.42, 2 Pr 3.24-3.42

For the formation enthalpy at 0 K, the calculation gives -0.340 eV per atom. The energy above the most stable polymorph in this dataset is 0 meV/atom. The value obtained for the total energy is -4.233 eV per atom. The calculation puts the volume at 219.4 Å³/f.u.

---

Question: Among the records above, which one has the highest total energy?
Answer: KCd2Se

---

Question: The lowest total energy belongs to which entry?
Answer: HoZrC